Compound: K2HCl
Source: the Alexandria database
Functional: GGA-PBE
Structure: relaxed Values from VASP.

Structure (Quantum ESPRESSO input):
```
&SYSTEM
  ibrav = 0, nat = 12, ntyp = 3
/
ATOMIC_SPECIES
K 39.10 K.upf
H 1.01 H.upf
Cl 35.45 Cl.upf
CELL_PARAMETERS angstrom
4.1953 0.0000 0.0000
-2.0977 3.6333 0.0000
0.0000 0.0000 21.8950
ATOMIC_POSITIONS angstrom
K 0.0000 0.0000 0.0000
K 0.0000 0.0000 4.0012
K 0.0000 2.4222 14.5967
K 0.0000 2.4222 18.5979
K 2.0977 1.2111 7.2983
K 2.0977 1.2111 11.2995
H 0.0000 0.0000 12.9734
H 0.0000 2.4222 5.6750
H 2.0977 1.2111 20.2717
Cl 0.0000 0.0000 9.2819
Cl 0.0000 2.4222 1.9836
Cl 2.0977 1.2111 16.5803
```

SG   R3m, No. 160
Calculated total energy   -34.74 eV per cell